[1]
Material: Ca3Nb3N5
Method: DFT, GGA-PBE
State: optimized geometry

Cell lengths 6.0469, 7.4355, 8.4697 Å; angles 106.88, 103.77, 99.87 degrees
Fractional coordinates of all 22 atoms:
Ca: 0.1648 0.1285 0.2005
Ca: 0.1839 0.3501 0.8918
Ca: 0.3036 0.9599 0.6151
Ca: 0.6964 0.0401 0.3849
Ca: 0.8161 0.6499 0.1082
Ca: 0.8352 0.8715 0.7995
Nb: 0.2424 0.4876 0.5693
Nb: 0.3283 0.6209 0.2992
Nb: 0.3831 0.8052 0.9489
Nb: 0.6169 0.1948 0.0511
Nb: 0.6717 0.3791 0.7008
Nb: 0.7576 0.5124 0.4307
N: 0.0578 0.6493 0.4079
N: 0.2164 0.7351 0.1031
N: 0.2560 0.0408 0.8970
N: 0.3929 0.2255 0.5013
N: 0.4874 0.4175 0.1813
N: 0.5126 0.5825 0.8187
N: 0.6071 0.7745 0.4987
N: 0.7440 0.9592 0.1030
N: 0.7836 0.2649 0.8969
N: 0.9422 0.3507 0.5921

## Properties
ΔE_f (raw) (meV per atom): -857
E (eV per atom): -7.9332
SG: P-1 (2)

---

[2]
Material: Ca2NbN3
Method: DFT, GGA-PBE
State: optimized geometry

Cell lengths 5.9136, 5.9136, 6.3938 Å; angles 105.82, 105.82, 51.98 degrees
Fractional coordinates of all 12 atoms:
Ca: 0.1709 0.1726 0.0863
Ca: 0.1726 0.1709 0.5863
Ca: 0.8274 0.8291 0.4137
Ca: 0.8291 0.8274 0.9137
Nb: 0.4406 0.5594 0.7500
Nb: 0.5594 0.4406 0.2500
N: 0.0785 0.9215 0.7500
N: 0.3539 0.3612 0.9298
N: 0.3612 0.3539 0.4298
N: 0.6388 0.6461 0.5702
N: 0.6461 0.6388 0.0702
N: 0.9215 0.0785 0.2500

## Properties
ΔE_f (raw) (meV per atom): -1155
E (eV per atom): -7.6629
SG: C2/c (15)

---

[3]
Material: CaNbN3
Method: DFT, GGA-PBE
State: optimized geometry

Cell lengths 4.0858, 4.0858, 4.0858 Å; angles 90.00, 90.00, 90.00 degrees
Fractional coordinates of all 5 atoms:
Ca: 0.0000 0.0000 0.0000
Nb: 0.5000 0.5000 0.5000
N: 0.0000 0.5000 0.5000
N: 0.5000 0.0000 0.5000
N: 0.5000 0.5000 0.0000

## Properties
ΔE_f (raw) (meV per atom): -347
E (eV per atom): -7.7562
SG: Pm-3m (221)

---

[4]
Material: Ca2NbN3
Method: DFT, GGA-PBE
State: optimized geometry

Cell lengths 6.1233, 6.1233, 12.1265 Å; angles 92.05, 92.05, 121.65 degrees
Fractional coordinates of all 24 atoms:
Ca: 0.0321 0.4387 0.8651
Ca: 0.0950 0.3319 0.4221
Ca: 0.3319 0.0950 0.9221
Ca: 0.4387 0.0321 0.3651
Ca: 0.5613 0.9679 0.6349
Ca: 0.6681 0.9050 0.0779
Ca: 0.9050 0.6681 0.5779
Ca: 0.9679 0.5613 0.1349
Nb: 0.2686 0.2742 0.6620
Nb: 0.2742 0.2686 0.1620
Nb: 0.7258 0.7314 0.8380
Nb: 0.7314 0.7258 0.3380
N: 0.0209 0.9791 0.2500
N: 0.0918 0.2856 0.0358
N: 0.1997 0.5291 0.6133
N: 0.2856 0.0918 0.5358
N: 0.3936 0.6064 0.2500
N: 0.4709 0.8003 0.8867
N: 0.5291 0.1997 0.1133
N: 0.6064 0.3936 0.7500
N: 0.7144 0.9082 0.4642
N: 0.8003 0.4709 0.3867
N: 0.9082 0.7144 0.9642
N: 0.9791 0.0209 0.7500

## Properties
ΔE_f (raw) (meV per atom): -1102
E (eV per atom): -7.6104
SG: C2/c (15)

---

Which formula does entry 4 have?
Ca2NbN3

---

What is the formula in the third record?
CaNbN3

---

Among the records above, which one has the highest ΔE_f (raw)?
CaNbN3

---

Look up the E of the fourth one.
-7.6104 eV per atom